Crystalline NaLu3 at its relaxed geometry, computed with GGA-PBE.

```
data_NaLu3
_chemical_formula_sum 'Na1 Lu3'
_symmetry_space_group_name_H-M 'P 1'
_symmetry_Int_Tables_number 1
_cell_length_a 5.510
_cell_length_b 5.510
_cell_length_c 5.510
_cell_angle_alpha 60.00
_cell_angle_beta 60.00
_cell_angle_gamma 60.00
loop_
_symmetry_equiv_pos_as_xyz
'x,y,z'
loop_
_atom_site_label
_atom_site_fract_x
_atom_site_fract_y
_atom_site_fract_z
Na1 0.000 0.000 0.000
Lu1 0.250 0.250 0.250
Lu2 0.750 0.750 0.750
Lu3 0.500 0.500 0.500
```

Values from the calculation:
The theoretical density is 7.7 g/cm³. The total energy comes out at -3.38 eV per atom. Its energy of formation is 336 meV/atom.

Crystalline NaLu3 at its relaxed geometry, computed with GGA-PBE.

```
data_NaLu3
_chemical_formula_sum 'Na1 Lu3'
_symmetry_space_group_name_H-M 'P 1'
_symmetry_Int_Tables_number 1
_cell_length_a 6.141
_cell_length_b 6.141
_cell_length_c 6.141
_cell_angle_alpha 132.96
_cell_angle_beta 132.96
_cell_angle_gamma 68.71
loop_
_symmetry_equiv_pos_as_xyz
'x,y,z'
loop_
_atom_site_label
_atom_site_fract_x
_atom_site_fract_y
_atom_site_fract_z
Na1 0.000 0.000 0.000
Lu1 0.750 0.250 0.500
Lu2 0.250 0.750 0.500
Lu3 0.500 0.500 0.000
```

Values from the calculation:
The theoretical density is 7.5 g/cm³. The total energy comes out at -3.38 eV per atom. Its energy of formation is 338 meV/atom.

Crystalline NaNdLuPb at its relaxed geometry, computed with GGA-PBE.

```
data_NaNdLuPb
_chemical_formula_sum 'Na1 Nd1 Lu1 Pb1'
_symmetry_space_group_name_H-M 'P 1'
_symmetry_Int_Tables_number 1
_cell_length_a 5.449
_cell_length_b 5.449
_cell_length_c 5.449
_cell_angle_alpha 60.00
_cell_angle_beta 60.00
_cell_angle_gamma 60.00
loop_
_symmetry_equiv_pos_as_xyz
'x,y,z'
loop_
_atom_site_label
_atom_site_fract_x
_atom_site_fract_y
_atom_site_fract_z
Pb1 0.250 0.250 0.250
Na1 0.750 0.750 0.750
Lu1 0.500 0.500 0.500
Nd1 0.000 0.000 0.000
```

Values from the calculation:
The theoretical density is 8.0 g/cm³. The total energy comes out at -3.69 eV per atom. Its energy of formation is -116 meV/atom.

> What is the formula in the second record?

NaLu3

> Among the records above, which one has the lowest energy of formation?

NaNdLuPb

> Among the records above, which one has the highest theoretical density?

NaNdLuPb

> The lowest theoretical density belongs to which entry?

number 2